# 1
This record from the Open Quantum Materials Database describes a geometry-optimized SrPmAs structure. The functional is GGA-PBE.

Values from the calculation:
As for the total energy: -4.409 eV per atom. As for the distance to the lowest polymorph of the same formula: 0.0 meV/atom. The value obtained for the total magnetization is 0.00 μB per cell.

Lattice parameters (Å, degrees): 5.0876 5.0876 5.0876 60.00 60.00 60.00
Positions (direct):
As 0.0000 0.0000 0.0000
Sr 0.7500 0.7500 0.7500
Pm 0.2500 0.2500 0.2500

# 2
This record from the Open Quantum Materials Database describes a geometry-optimized PmTaAs structure. The functional is GGA-PBE.

Values from the calculation:
As for the total energy: -6.090 eV per atom. As for the distance to the lowest polymorph of the same formula: 1004.0 meV/atom. The value obtained for the total magnetization is 3.24 μB per cell.

Lattice parameters (Å, degrees): 4.9194 4.9194 4.9194 60.00 60.00 60.00
Positions (direct):
Pm 0.0000 0.0000 0.0000
Ta 0.7500 0.7500 0.7500
As 0.2500 0.2500 0.2500

# 3
This record from the Open Quantum Materials Database describes a geometry-optimized PmTaAs structure. The functional is GGA-PBE.

Values from the calculation:
As for the total energy: -7.094 eV per atom. As for the distance to the lowest polymorph of the same formula: 0.0 meV/atom. The value obtained for the total magnetization is 0.06 μB per cell.

Lattice parameters (Å, degrees): 4.6362 4.6362 4.6362 60.00 60.00 60.00
Positions (direct):
Ta 0.7500 0.7500 0.7500
Pm 0.2500 0.2500 0.2500
As 0.0000 0.0000 0.0000

# 4
This record from the Open Quantum Materials Database describes a geometry-optimized TbPmAs structure. The functional is GGA-PBE.

Values from the calculation:
As for the total energy: -5.476 eV per atom. The value obtained for the total magnetization is 0.00 μB per cell.

Lattice parameters (Å, degrees): 4.8946 4.8946 4.8946 60.00 60.00 60.00
Positions (direct):
Pm 0.2500 0.2500 0.2500
Tb 0.7500 0.7500 0.7500
As 0.0000 0.0000 0.0000

# 5
This record from the Open Quantum Materials Database describes a geometry-optimized TbPmAs2 structure. The functional is GGA-PBE.

Values from the calculation:
As for the total energy: -6.197 eV per atom. The value obtained for the total magnetization is 0.00 μB per cell.

Lattice parameters (Å, degrees): 4.1854 4.1854 5.9190 90.00 90.00 90.00
Positions (direct):
Pm 0.0000 0.0000 0.5000
As 0.5000 0.5000 0.5000
As 0.0000 0.0000 0.0000
Tb 0.5000 0.5000 0.0000

# 6
This record from the Open Quantum Materials Database describes a geometry-optimized Pm4Te3As structure. The functional is GGA-PBE.

Values from the calculation:
As for the total energy: -5.617 eV per atom. The value obtained for the total magnetization is 0.01 μB per cell.

Lattice parameters (Å, degrees): 7.6811 7.6811 4.3667 90.00 90.00 108.95
Positions (direct):
Te 0.5000 0.5000 0.0000
Te 0.0000 0.5000 0.5000
As 0.0000 0.0000 0.0000
Pm 0.2340 0.7660 0.0000
Te 0.5000 0.0000 0.5000
Pm 0.2244 0.2244 0.5000
Pm 0.7660 0.2340 0.0000
Pm 0.7756 0.7756 0.5000